VASP calculation (PBE) on NaSr2TlPd after structural relaxation.

Lattice parameters (Å, degrees): 5.8640 5.8640 5.4489 90.00 90.00 90.00
Last column: nearest neighbours and their distance in Å.
Sites, in units of the cell vectors:
Sr 0.5000 0.0000 0.0000  2 Pd 2.93
Sr 0.0000 0.5000 0.0000  2 Pd 2.93
Na 0.0000 0.0000 0.5000  2 Pd 2.72
Tl 0.5000 0.5000 0.5000  8 Sr 4.00, 4 Na 4.15
Pd 0.0000 0.0000 0.0000  2 Na 2.72, 4 Sr 2.93

Symmetry   P4/mmm (123)
E above lowest polymorph   0.371 eV per formula unit
D(E_F)   0.768 states/eV/atom
Formation energy from the elements   -200.4 meV per atom

---

VASP calculation (PBE) on NaSrTl2Pd after structural relaxation.

Lattice parameters (Å, degrees): 5.4337 5.4337 5.6592 90.00 90.00 90.00
Last column: nearest neighbours and their distance in Å.
Sites, in units of the cell vectors:
Pd 0.0000 0.0000 0.0000  4 Tl 2.72, 2 Sr 2.83
Na 0.5000 0.5000 0.5000  4 Sr 3.84, 8 Tl 3.92
Tl 0.0000 0.5000 0.0000  2 Pd 2.72
Tl 0.5000 0.0000 0.0000  2 Pd 2.72
Sr 0.0000 0.0000 0.5000  2 Pd 2.83

Symmetry   P4/mmm (123)
E above lowest polymorph   0.000 eV per formula unit
D(E_F)   0.819 states/eV/atom
Formation energy from the elements   -182.4 meV per atom

---

VASP calculation (PBE) on NaSrTl2Pd after structural relaxation.

Lattice parameters (Å, degrees): 5.3632 5.3632 5.3206 90.00 90.00 90.00
Last column: nearest neighbours and their distance in Å.
Sites, in units of the cell vectors:
Tl 0.0000 0.5000 0.0000  2 Pd 2.68
Tl 0.5000 0.0000 0.0000  2 Pd 2.68
Pd 0.0000 0.0000 0.0000  2 Na 2.66, 4 Tl 2.68
Sr 0.5000 0.5000 0.5000  8 Tl 3.78, 4 Na 3.79
Na 0.0000 0.0000 0.5000  2 Pd 2.66

Symmetry   P4/mmm (123)
E above lowest polymorph   0.089 eV per formula unit
D(E_F)   0.896 states/eV/atom
Formation energy from the elements   -164.5 meV per atom

---

VASP calculation (PBE) on NaSr2YPd after structural relaxation.

Lattice parameters (Å, degrees): 6.0796 6.0796 5.4757 90.00 90.00 90.00
Last column: nearest neighbours and their distance in Å.
Sites, in units of the cell vectors:
Sr 0.5000 0.0000 0.0000  2 Pd 3.04
Sr 0.0000 0.5000 0.0000  2 Pd 3.04
Pd 0.0000 0.0000 0.0000  2 Y 2.74, 4 Sr 3.04
Na 0.5000 0.5000 0.5000  8 Sr 4.09, 4 Y 4.30
Y 0.0000 0.0000 0.5000  2 Pd 2.74

Symmetry   P4/mmm (123)
D(E_F)   0.734 states/eV/atom
Formation energy from the elements   -191.2 meV per atom

---

VASP calculation (PBE) on NaSrYPd2 after structural relaxation.

Lattice parameters (Å, degrees): 5.2935 5.0720 5.2935 90.00 90.00 90.00
Last column: nearest neighbours and their distance in Å.
Sites, in units of the cell vectors:
Pd 0.0000 0.0000 0.5000  2 Sr 2.65
Pd 0.5000 0.0000 0.0000  2 Sr 2.65
Sr 0.0000 0.0000 0.0000  2 Na 2.54, 4 Pd 2.65
Y 0.5000 0.5000 0.5000  8 Pd 3.67, 4 Na 3.74
Na 0.0000 0.5000 0.0000  2 Sr 2.54

Symmetry   P4/mmm (123)
E above lowest polymorph   0.595 eV per formula unit
D(E_F)   0.697 states/eV/atom
Formation energy from the elements   473.0 meV per atom

---

VASP calculation (PBE) on NaSrYPd2 after structural relaxation.

Lattice parameters (Å, degrees): 5.0852 5.0852 4.9200 90.00 90.00 90.00
Last column: nearest neighbours and their distance in Å.
Sites, in units of the cell vectors:
Pd 0.5000 0.0000 0.0000  2 Na 2.54
Pd 0.0000 0.5000 0.0000  2 Na 2.54
Sr 0.0000 0.0000 0.5000  2 Na 2.46
Na 0.0000 0.0000 0.0000  2 Sr 2.46, 4 Pd 2.54
Y 0.5000 0.5000 0.5000  8 Pd 3.54, 4 Sr 3.60

Symmetry   P4/mmm (123)
E above lowest polymorph   0.000 eV per formula unit
D(E_F)   0.808 states/eV/atom
Formation energy from the elements   354.1 meV per atom

---

VASP calculation (PBE) on NaSr2ZrPd after structural relaxation.

Lattice parameters (Å, degrees): 5.8317 5.4381 5.8317 90.00 90.00 90.00
Last column: nearest neighbours and their distance in Å.
Sites, in units of the cell vectors:
Pd 0.0000 0.0000 0.0000  2 Na 2.72, 4 Sr 2.92
Zr 0.5000 0.5000 0.5000  8 Sr 3.99, 4 Na 4.12
Na 0.0000 0.5000 0.0000  2 Pd 2.72
Sr 0.0000 0.0000 0.5000  2 Pd 2.92
Sr 0.5000 0.0000 0.0000  2 Pd 2.92

Symmetry   P4/mmm (123)
D(E_F)   0.956 states/eV/atom
Formation energy from the elements   461.5 meV per atom

---

VASP calculation (PBE) on Na4Ta2Pd after structural relaxation.

Lattice parameters (Å, degrees): 5.5943 5.5943 8.2087 70.08 70.08 90.00
Last column: nearest neighbours and their distance in Å.
Sites, in units of the cell vectors:
Na 0.5000 0.0000 0.0000  2 Pd 2.80, 4 Ta 3.02
Na 0.1932 0.1932 0.6136  1 Pd 2.78
Na 0.8068 0.8068 0.3864  1 Pd 2.78
Na 0.0000 0.5000 0.0000  2 Pd 2.80, 4 Ta 3.02
Pd 0.0000 0.0000 0.0000  6 Na 2.78-2.80
Ta 0.5789 0.5789 0.8423  1 Ta 2.27
Ta 0.4211 0.4211 0.1577  1 Ta 2.27

Symmetry   I4/mmm (139)
D(E_F)   0.660 states/eV/atom
Formation energy from the elements   1235.9 meV per atom